Below is an optimized crystal structure of BeCuP2, with properties calculated at the PBE-GGA level.

```
BeCuP2
1.0
1.655 -2.243 0.000
1.655 2.243 0.000
0.000 0.000 6.868
Be Cu P
1 1 2
Cartesian
0.000 0.000 0.000
0.000 0.000 3.434
1.655 0.000 1.556
1.655 0.000 5.312
```

Output
Crystal system: orthorhombic
Space-group type: Cmmm

***

Below is an optimized crystal structure of BeCuP, with properties calculated at the PBE-GGA level.

```
BeCuP
1.0
3.826 0.000 0.000
-1.913 3.313 0.000
0.000 0.000 7.617
Be Cu P
2 2 2
Cartesian
0.000 0.000 1.904
0.000 0.000 5.713
0.000 2.209 1.904
1.913 1.104 5.713
0.000 0.000 0.000
0.000 0.000 3.809
```

Output
Crystal system: hexagonal
Space-group type: P6_3/mmc

***

Below is an optimized crystal structure of BeCuP2, with properties calculated at the PBE-GGA level.

```
BeCuP2
1.0
1.300 -2.295 0.000
1.300 2.295 0.000
0.000 0.000 8.996
Be Cu P
1 1 2
Cartesian
0.000 0.000 0.000
1.300 0.000 7.128
0.000 0.000 5.050
1.300 0.000 1.810
```

Output
Crystal system: orthorhombic
Space-group type: Cmm2

***

Below is an optimized crystal structure of BeCuP2, with properties calculated at the PBE-GGA level.

```
BeCuP2
1.0
3.254 0.000 0.000
0.000 3.254 0.000
0.000 0.000 4.908
Be Cu P
1 1 2
Cartesian
0.000 0.000 0.000
0.000 0.000 2.454
1.627 1.627 1.070
1.627 1.627 3.838
```

Output
Crystal system: tetragonal
Space-group type: P4/mmm

***

Below is an optimized crystal structure of BeCuP4, with properties calculated at the PBE-GGA level.

```
BeCuP4
1.0
0.000 3.500 3.500
3.500 0.000 3.500
3.500 3.500 0.000
Be Cu P
1 1 4
Cartesian
0.000 0.000 0.000
5.251 5.251 5.251
2.621 2.621 2.621
4.380 4.380 2.621
4.380 2.621 4.380
2.621 4.380 4.380
```

Output
Crystal system: cubic
Space-group type: F-43m

***

Below is an optimized crystal structure of BeCuP, with properties calculated at the PBE-GGA level.

```
BeCuP
1.0
6.223 0.000 0.000
0.000 3.933 0.000
0.000 0.000 5.953
Be Cu P
4 4 4
Cartesian
0.590 0.983 1.080
2.522 2.950 4.056
3.701 0.983 1.896
5.633 2.950 4.873
0.633 2.950 2.517
2.479 0.983 5.494
3.745 2.950 0.459
5.590 0.983 3.435
1.252 2.950 0.171
1.859 0.983 3.147
4.364 2.950 2.806
4.971 0.983 5.782
```

Output
Crystal system: orthorhombic
Space-group type: Pnma

***

Below is an optimized crystal structure of BeCuP, with properties calculated at the PBE-GGA level.

```
BeCuP
1.0
3.353 -1.938 0.000
3.353 1.938 0.000
-0.018 0.000 6.194
Be Cu P
2 2 2
Cartesian
0.000 0.000 0.000
4.466 0.000 3.097
2.230 0.000 2.524
2.220 0.000 5.620
6.700 0.000 2.157
4.458 0.000 5.254
```

Output
Crystal system: monoclinic
Space-group type: Cm

***

Below is an optimized crystal structure of BeCuP, with properties calculated at the PBE-GGA level.

```
BeCuP
1.0
3.672 0.000 0.000
0.000 7.046 0.000
-1.835 0.000 3.181
Be Cu P
2 2 2
Cartesian
0.008 0.000 0.001
1.828 3.523 3.180
0.011 1.296 2.119
1.825 4.819 1.062
-0.007 3.572 2.120
1.844 0.049 1.061
```

Output
Crystal system: monoclinic
Space-group type: P2_1

***

Below is an optimized crystal structure of BeCuP2, with properties calculated at the PBE-GGA level.

```
BeCuP2
1.0
4.594 0.000 0.000
0.000 4.594 0.000
0.000 0.000 2.426
Be Cu P
1 1 2
Cartesian
0.000 0.000 0.000
2.297 2.297 0.000
0.000 2.297 1.213
2.297 0.000 1.213
```

Output
Crystal system: tetragonal
Space-group type: P4/mmm

***

Below is an optimized crystal structure of Be2CuP2, with properties calculated at the PBE-GGA level.

```
Be2CuP2
1.0
-1.785 1.785 4.967
1.785 -1.785 4.967
1.785 1.785 -4.967
Be Cu P
2 1 2
Cartesian
0.000 0.000 1.071
0.000 0.000 8.863
0.000 0.000 4.967
1.785 0.000 2.484
0.000 1.785 2.484
```

Output
Crystal system: tetragonal
Space-group type: I4/mmm

***

Below is an optimized crystal structure of BeCuP, with properties calculated at the PBE-GGA level.

```
BeCuP
1.0
3.790 0.000 0.000
-1.895 3.284 0.000
-0.001 -0.005 6.582
Be Cu P
2 2 2
Cartesian
0.000 0.000 0.000
-0.005 2.178 4.334
1.897 1.096 1.059
1.890 3.273 3.713
-0.001 2.184 6.509
1.890 1.085 3.336
```

Output
Crystal system: triclinic
Space-group type: P1

***

Below is an optimized crystal structure of BeCuP, with properties calculated at the PBE-GGA level.

```
BeCuP
1.0
0.000 1.814 5.529
1.807 0.000 5.529
1.807 1.814 0.000
Be Cu P
1 1 1
Cartesian
0.000 0.000 0.000
1.807 1.814 4.052
1.807 1.814 7.267
```

Output
Crystal system: orthorhombic
Space-group type: Fmm2

***

Below is an optimized crystal structure of BeCuP, with properties calculated at the PBE-GGA level.

```
BeCuP
1.0
3.755 0.000 0.000
0.000 3.755 0.000
0.000 0.000 5.376
Be Cu P
2 2 2
Cartesian
0.939 2.816 0.000
2.816 0.939 0.000
0.939 2.816 2.688
2.816 0.939 2.688
0.939 0.939 1.183
2.816 2.816 4.192
```

Output
Crystal system: tetragonal
Space-group type: P4/nmm

***

Below is an optimized crystal structure of BeCuP2, with properties calculated at the PBE-GGA level.

```
BeCuP2
1.0
3.845 0.000 0.000
0.000 3.138 0.000
-1.205 0.000 4.704
Be Cu P
1 1 2
Cartesian
0.000 0.000 0.000
1.320 0.000 2.352
0.146 1.569 3.779
2.494 1.569 0.925
```

Output
Crystal system: monoclinic
Space-group type: P2/m

***

Below is an optimized crystal structure of BeCuP, with properties calculated at the PBE-GGA level.

```
BeCuP
1.0
3.719 0.000 0.000
0.291 4.003 0.000
0.444 0.723 5.480
Be Cu P
2 2 2
Cartesian
0.000 0.000 0.000
2.143 1.839 2.521
1.486 2.703 4.658
3.536 3.802 2.339
0.327 1.826 1.387
2.367 0.621 4.307
```

Output
Crystal system: triclinic
Space-group type: P1

***

Below is an optimized crystal structure of BeCuP, with properties calculated at the PBE-GGA level.

```
BeCuP
1.0
3.544 0.000 0.000
0.000 3.544 0.000
0.000 0.000 5.824
Be Cu P
2 2 2
Cartesian
0.886 2.658 0.000
2.658 0.886 0.000
0.886 0.886 2.218
2.658 2.658 3.606
0.886 0.886 4.496
2.658 2.658 1.329
```

Output
Crystal system: tetragonal
Space-group type: P4/nmm

***

Below is an optimized crystal structure of BeCuP, with properties calculated at the PBE-GGA level.

```
BeCuP
1.0
1.890 1.091 6.139
-1.890 1.091 6.139
0.000 -2.183 6.139
Be Cu P
2 2 2
Cartesian
0.000 0.000 2.236
0.000 0.000 16.180
0.000 0.000 6.919
0.000 0.000 11.497
0.000 0.000 4.454
0.000 0.000 13.962
```

Output
Crystal system: trigonal
Space-group type: R-3m

***

Below is an optimized crystal structure of BeCuP, with properties calculated at the PBE-GGA level.

```
BeCuP
1.0
3.755 0.000 0.000
-1.877 3.252 0.000
0.000 0.000 6.495
Be Cu P
2 2 2
Cartesian
0.000 0.000 0.000
0.000 2.168 3.911
0.000 2.168 1.349
1.877 1.084 3.045
0.000 0.000 4.322
1.877 1.084 0.696
```

Output
Crystal system: trigonal
Space-group type: P3m1

***

Below is an optimized crystal structure of BeCuP, with properties calculated at the PBE-GGA level.

```
BeCuP
1.0
4.026 0.000 0.000
-2.013 3.486 0.000
0.000 0.000 2.714
Be Cu P
1 1 1
Cartesian
0.000 0.000 0.000
2.013 1.162 0.017
0.000 2.324 0.006
```

Output
Crystal system: trigonal
Space-group type: P3m1

***

Below is an optimized crystal structure of BeCuP, with properties calculated at the PBE-GGA level.

```
BeCuP
1.0
2.934 -2.167 0.000
2.934 2.167 0.000
-0.714 0.000 5.910
Be Cu P
2 2 2
Cartesian
2.934 1.100 0.000
2.934 -1.100 0.000
0.834 0.000 2.272
4.320 0.000 3.639
0.801 0.000 4.621
4.354 0.000 1.289
```

Output
Crystal system: monoclinic
Space-group type: C2/m

***

For the records above, the corresponding DFT formation energy values read 0.384 0.591 0.325 0.309 0.778 -0.088 -0.151 -0.132 0.355 0.411 -0.123 0.292 -0.175 0.202 -0.121 -0.036 -0.160 -0.121 0.253 -0.112 eV/atom.